# SmCu2Ge2 | the Alexandria database | PBE | optimized geometry
# VASP energy = -49.6 eV per cell
# Energy of formation = -534 meV/atom
data_SmCu2Ge2
_space_group_name_H-M_alt 'C 1 2/m 1'
_space_group_IT_number 12
_space_group_name_Hall '-C 2y'
_cell_length_a 5.829
_cell_length_b 5.833
_cell_length_c 5.897
_cell_angle_alpha 90.00
_cell_angle_beta 119.32
_cell_angle_gamma 90.00
loop_
_atom_site_label
_atom_site_type_symbol
_atom_site_fract_x
_atom_site_fract_y
_atom_site_fract_z
_atom_site_occupancy
Sm1 Sm 0.000 0.000 0.000 1
Cu1 Cu 0.000 0.248 0.500 1
Ge1 Ge 0.121 0.500 0.244 1

***

# Sm2Cu3Ge | the Alexandria database | PBE | optimized geometry
# VASP energy = -230.7 eV per cell
# Excess energy over the best structure of this formula in the dataset = 0.000 eV/atom
# Energy of formation = -415 meV/atom
data_Sm2Cu3Ge
_space_group_name_H-M_alt 'F m m m'
_space_group_IT_number 69
_space_group_name_Hall '-F 2 2'
_cell_length_a 7.484
_cell_length_b 8.600
_cell_length_c 14.882
_cell_angle_alpha 90.00
_cell_angle_beta 90.00
_cell_angle_gamma 90.00
loop_
_atom_site_label
_atom_site_type_symbol
_atom_site_fract_x
_atom_site_fract_y
_atom_site_fract_z
_atom_site_occupancy
Sm1 Sm 0.239 0.000 0.000 1
Sm2 Sm 0.250 0.250 0.250 1
Cu1 Cu 0.000 0.000 0.168 1
Cu2 Cu 0.000 0.249 0.417 1
Ge1 Ge 0.000 0.000 0.335 1

***

# Sm4CuGe8 | the Alexandria database | PBE | optimized geometry
# VASP energy = -67.8 eV per cell
# Energy of formation = -608 meV/atom
data_Sm4CuGe8
_space_group_name_H-M_alt 'P m m 2'
_space_group_IT_number 25
_space_group_name_Hall 'P 2 -2'
_cell_length_a 4.017
_cell_length_b 4.137
_cell_length_c 16.948
_cell_angle_alpha 90.00
_cell_angle_beta 90.00
_cell_angle_gamma 90.00
loop_
_atom_site_label
_atom_site_type_symbol
_atom_site_fract_x
_atom_site_fract_y
_atom_site_fract_z
_atom_site_occupancy
Sm1 Sm 0.000 0.000 0.000 1
Sm2 Sm 0.000 0.500 0.492 1
Sm3 Sm 0.500 0.000 0.790 1
Sm4 Sm 0.500 0.500 0.284 1
Cu1 Cu 0.000 0.500 0.714 1
Ge1 Ge 0.000 0.000 0.338 1
Ge2 Ge 0.000 0.000 0.631 1
Ge3 Ge 0.000 0.500 0.139 1
Ge4 Ge 0.000 0.500 0.855 1
Ge5 Ge 0.500 0.000 0.145 1
Ge6 Ge 0.500 0.000 0.433 1
Ge7 Ge 0.500 0.500 0.631 1
Ge8 Ge 0.500 0.500 0.948 1